(1)
Computed, not measured: a relaxed structure of Hf3MgZr at the PBE level of DFT.

Values from the calculation:
Total magnetization = 0.00 μB/cell
Space-group type = Pm-3m (221)
Polymorph energy (0 for the lowest one) = 1.060 eV per atom
Volume = 136.96 Å³/f.u.

POSCAR file:
```
Hf3MgZr
1.0
5.155 0.000 0.000
0.000 5.155 0.000
0.000 0.000 5.155
Hf Mg Zr
3 1 1
direct
0.000 0.000 0.500 Hf
0.000 0.500 0.000 Hf
0.500 0.000 0.000 Hf
0.500 0.500 0.500 Mg
0.000 0.000 0.000 Zr
```

***

(2)
Computed, not measured: a relaxed structure of Hf4Mg2Zr at the PBE level of DFT.

Values from the calculation:
Total magnetization = 0.00 μB/cell
Space-group type = Cmmm (65)
Volume = 162.73 Å³/f.u.

POSCAR file:
```
Hf4Mg2Zr
1.0
1.563 -16.688 0.000
1.563 16.688 0.000
0.000 0.000 3.120
Hf Mg Zr
4 2 1
direct
0.071 0.929 0.000 Hf
0.365 0.635 0.500 Hf
0.635 0.365 0.500 Hf
0.929 0.071 0.000 Hf
0.209 0.791 0.000 Mg
0.791 0.209 0.000 Mg
0.500 0.500 0.500 Zr
```

***

(3)
Computed, not measured: a relaxed structure of Hf3MgZr at the PBE level of DFT.

Values from the calculation:
Total magnetization = 0.00 μB/cell
Space-group type = P2_1/m (11)
Polymorph energy (0 for the lowest one) = 0.000 eV per atom
Volume = 113.11 Å³/f.u.

POSCAR file:
```
Hf3MgZr
1.0
7.819 0.000 0.000
0.000 3.165 0.000
-2.563 0.000 9.141
Hf Mg Zr
6 2 2
direct
0.043 0.250 0.144 Hf
0.265 0.250 0.753 Hf
0.449 0.250 0.349 Hf
0.551 0.750 0.651 Hf
0.735 0.750 0.247 Hf
0.957 0.750 0.856 Hf
0.147 0.750 0.451 Mg
0.853 0.250 0.549 Mg
0.344 0.750 0.045 Zr
0.656 0.250 0.955 Zr
```

***

Number 1: energy of formation from the pure elements 1.1399 eV/atom. Number 2: energy of formation from the pure elements 0.0628 eV/atom. Number 3: energy of formation from the pure elements 0.0801 eV/atom.